[1]
! PBE-GGA TbTi2, relaxed; values from VASP
! Calculated total energy in Ry/atom: -0.4818
! Space-group type: Fd-3m (227)
! Energy of formation in eV per atom: 0.2520
! Crystal system: cubic
&SYSTEM
  ibrav = 0, nat = 6, ntyp = 2
/
ATOMIC_SPECIES
Tb 158.93 Tb.upf
Ti 47.87 Ti.upf
ATOMIC_POSITIONS crystal
Tb 0.1250 0.1250 0.1250
Tb 0.8750 0.8750 0.8750
Ti 0.0000 0.5000 0.5000
Ti 0.5000 0.0000 0.5000
Ti 0.5000 0.5000 0.0000
Ti 0.5000 0.5000 0.5000
CELL_PARAMETERS angstrom
0.0000 4.1177 4.1177
4.1177 0.0000 4.1177
4.1177 4.1177 0.0000

=====

[2]
! PBE-GGA TbTiTl, relaxed; values from VASP
! Calculated total energy in Ry/atom: -0.3727
! Space-group type: P4/nmm (129)
! Energy of formation in eV per atom: -0.1067
! Crystal system: tetragonal
&SYSTEM
  ibrav = 0, nat = 6, ntyp = 3
/
ATOMIC_SPECIES
Tb 158.93 Tb.upf
Ti 47.87 Ti.upf
Tl 204.38 Tl.upf
ATOMIC_POSITIONS crystal
Tb 0.2500 0.2500 0.1608
Tb 0.7500 0.7500 0.8392
Ti 0.2500 0.7500 0.5000
Ti 0.7500 0.2500 0.5000
Tl 0.2500 0.2500 0.7537
Tl 0.7500 0.7500 0.2463
CELL_PARAMETERS angstrom
4.2925 0.0000 0.0000
0.0000 4.2925 0.0000
0.0000 0.0000 8.1196

=====

[3]
! PBE-GGA Tb2TiTl, relaxed; values from VASP
! Calculated total energy in Ry/atom: -0.3336
! Space-group type: R-3m (166)
! Energy above the most stable polymorph in this dataset in eV per atom: 0.363
! Energy of formation in eV per atom: 0.3417
! Crystal system: trigonal
&SYSTEM
  ibrav = 0, nat = 4, ntyp = 3
/
ATOMIC_SPECIES
Tb 158.93 Tb.upf
Ti 47.87 Ti.upf
Tl 204.38 Tl.upf
ATOMIC_POSITIONS crystal
Tb 0.0868 0.0868 0.0868
Tb 0.9132 0.9132 0.9132
Ti 0.0000 0.0000 0.0000
Tl 0.5000 0.5000 0.5000
CELL_PARAMETERS angstrom
1.6715 0.9651 11.3726
-1.6715 0.9651 11.3726
0.0000 -1.9301 11.3726

=====

[4]
! PBE-GGA Tb2TiTl, relaxed; values from VASP
! Calculated total energy in Ry/atom: -0.3603
! Space-group type: P4/mmm (123)
! Energy above the most stable polymorph in this dataset in eV per atom: 0.000
! Energy of formation in eV per atom: -0.0212
! Crystal system: tetragonal
&SYSTEM
  ibrav = 0, nat = 4, ntyp = 3
/
ATOMIC_SPECIES
Tb 158.93 Tb.upf
Ti 47.87 Ti.upf
Tl 204.38 Tl.upf
ATOMIC_POSITIONS crystal
Tb 0.0000 0.5000 0.0000
Tb 0.5000 0.0000 0.0000
Ti 0.0000 0.0000 0.5000
Tl 0.5000 0.5000 0.5000
CELL_PARAMETERS angstrom
4.8323 0.0000 0.0000
0.0000 4.8323 0.0000
0.0000 0.0000 4.4259